SiHIr2Os GGA-PBE relaxed; symmetry = P4/mmm (123); DFT total energy = -5.879 eV/atom
1.0
4.406 0.000 0.000
0.000 4.416 0.000
0.000 0.000 4.406
H Si Ir Os
1 1 2 1
direct
0.500 0.500 0.500
0.000 0.000 0.000
0.000 0.000 0.500
0.500 0.000 0.000
0.000 0.500 0.000